## ZnGaAsOs2 (GGA-PBE)

Data for crystalline ZnGaAsOs2 at its relaxed geometry.

CIF file:
```
data_ZnGaAsOs2
_chemical_formula_sum 'Zn1 Ga1 As1 Os2'
_cell_length_a 4.633
_cell_length_b 4.633
_cell_length_c 4.266
_cell_angle_alpha 90.00
_cell_angle_beta 90.00
_cell_angle_gamma 90.00
_space_group_name_H-M_alt 'P 4/m m m'
_space_group_IT_number 123
_space_group_name_Hall '-P 4 2'
loop_
_atom_site_label
_atom_site_type_symbol
_atom_site_fract_x
_atom_site_fract_y
_atom_site_fract_z
Zn1 Zn 0.000 0.000 0.000
Ga1 Ga 0.000 0.000 0.500
As1 As 0.500 0.500 0.500
Os1 Os 0.000 0.500 0.000
```

Output
calculated total energy = -0.1720 Ha/atom

---

## GaAs3P (GGA-PBE)

Data for crystalline GaAs3P at its relaxed geometry.

CIF file:
```
data_GaAs3P
_chemical_formula_sum 'Ga1 As3 P1'
_cell_length_a 4.836
_cell_length_b 4.836
_cell_length_c 4.836
_cell_angle_alpha 90.00
_cell_angle_beta 90.00
_cell_angle_gamma 90.00
_space_group_name_H-M_alt 'P m -3 m'
_space_group_IT_number 221
_space_group_name_Hall '-P 4 2 3'
loop_
_atom_site_label
_atom_site_type_symbol
_atom_site_fract_x
_atom_site_fract_y
_atom_site_fract_z
Ga1 Ga 0.000 0.000 0.000
As1 As 0.000 0.500 0.500
P1 P 0.500 0.500 0.500
```

Output
energy relative to the lowest polymorph listed for this composition = 0 meV per atom
calculated total energy = -0.1419 Ha/atom

---

The lowest calculated total energy belongs to which entry? ZnGaAsOs2